## Si23Pb (PBE)

Data for Si23Pb after structural relaxation.

Lattice parameters (Å, degrees): 10.249 10.249 10.249 90.00 90.00 90.00
Element x y z (fractional)
Si (0.692, 0.117, 0.000)
Si (0.117, 0.000, 0.308)
Si (0.808, 0.500, 0.617)
Si (0.000, 0.500, 0.750)
Si (0.383, 0.808, 0.500)
Si (0.500, 0.750, 0.000)
Si (0.317, 0.683, 0.317)
Si (0.308, 0.883, 0.000)
Si (0.183, 0.183, 0.183)
Si (0.683, 0.317, 0.683)
Si (0.500, 0.250, 0.000)
Si (0.617, 0.192, 0.500)
Si (0.383, 0.192, 0.500)
Pb (0.000, 0.000, 0.000)
Si (0.883, 0.000, 0.308)
Si (0.750, 0.000, 0.500)
Si (0.500, 0.383, 0.808)
Si (0.183, 0.817, 0.817)
Si (0.500, 0.617, 0.192)
Si (0.000, 0.308, 0.117)
Si (0.683, 0.683, 0.683)
Si (0.817, 0.183, 0.183)
Si (0.817, 0.817, 0.817)
Si (0.683, 0.317, 0.317)
Si (0.317, 0.683, 0.683)
Si (0.692, 0.883, 0.000)
Pb (0.500, 0.500, 0.500)
Si (0.183, 0.183, 0.817)
Si (0.683, 0.683, 0.317)
Si (0.250, 0.000, 0.500)
Si (0.000, 0.692, 0.883)
Si (0.883, 0.000, 0.692)
Si (0.317, 0.317, 0.317)
Si (0.192, 0.500, 0.383)
Si (0.183, 0.817, 0.183)
Si (0.000, 0.308, 0.883)
Si (0.117, 0.000, 0.692)
Si (0.817, 0.817, 0.183)
Si (0.500, 0.383, 0.192)
Si (0.617, 0.808, 0.500)
Si (0.308, 0.117, 0.000)
Si (0.817, 0.183, 0.817)
Si (0.317, 0.317, 0.683)
Si (0.500, 0.617, 0.808)
Si (0.192, 0.500, 0.617)
Si (0.000, 0.500, 0.250)
Si (0.000, 0.692, 0.117)
Si (0.808, 0.500, 0.383)

Computed properties:
As for the energy relative to the elements, uncorrected: 0.103 eV/atom. The energy comes out at -5.2490 eV/atom.

## KSeS3 (PBE)

Data for KSeS3 after structural relaxation.

Lattice parameters (Å, degrees): 4.632 8.657 8.289 90.00 106.04 90.00
Element x y z (fractional)
S (0.341, 0.482, 0.390)
K (0.792, 0.750, 0.316)
Se (0.652, 0.750, 0.820)
K (0.208, 0.250, 0.684)
S (0.659, 0.518, 0.610)
Se (0.348, 0.250, 0.180)
S (0.920, 0.250, 0.007)
S (0.341, 0.018, 0.390)
S (0.659, 0.982, 0.610)
S (0.080, 0.750, 0.993)

Computed properties:
As for the energy relative to the elements, uncorrected: -0.237 eV/atom. For the energy relative to the lowest polymorph listed for this composition, the calculation gives 0.0851 eV/atom. The energy comes out at -3.6297 eV/atom.

## Pr3Ho12Cd (PBE)

Data for Pr3Ho12Cd after structural relaxation.

Lattice parameters (Å, degrees): 4.989 4.989 20.087 90.00 90.00 90.00
Element x y z (fractional)
Ho (0.500, 0.000, 0.119)
Ho (0.500, 0.500, 0.500)
Ho (0.000, 0.500, 0.881)
Ho (0.500, 0.000, 0.373)
Pr (0.000, 0.000, 0.753)
Ho (0.000, 0.500, 0.627)
Pr (0.000, 0.000, 0.247)
Ho (0.500, 0.500, 0.000)
Cd (0.000, 0.000, 0.000)
Ho (0.500, 0.000, 0.627)
Ho (0.500, 0.500, 0.243)
Ho (0.500, 0.000, 0.881)
Ho (0.000, 0.500, 0.373)
Ho (0.500, 0.500, 0.757)
Pr (0.000, 0.000, 0.500)
Ho (0.000, 0.500, 0.119)

Computed properties:
The energy comes out at -4.3841 eV/atom. Its formation energy is 0.003 eV per atom.